Ce6Os2Br3N | GGA-PBE | optimized geometry

Cell and atoms, written as CIF:
```
data_Ce6Os2Br3N
_cell_length_a 6.789
_cell_length_b 11.750
_cell_length_c 7.992
_cell_angle_alpha 90.00
_cell_angle_beta 106.32
_cell_angle_gamma 90.00
_space_group_name_H-M_alt 'C 1 2/m 1'
_space_group_IT_number 12
_space_group_name_Hall '-C 2y'
loop_
_atom_site_label
_atom_site_fract_x
_atom_site_fract_y
_atom_site_fract_z
_atom_site_occupancy
Ce1 0.217 0.154 0.189 1
Ce2 0.241 0.000 0.808 1
Os1 0.000 0.334 0.000 1
Br1 0.000 0.174 0.500 1
Br2 0.000 0.500 0.500 1
N1 0.000 0.000 0.000 1
```

Calculated values
- E (Ry per atom) = -0.5057
- theoretical density (g cm⁻³) = 8.0
- magnetization (μB per atom) = 0.3899
- energy relative to the elements, uncorrected (eV/atom) = -0.93